This record from Alexandria via LeMat-Bulk describes an optimized crystal structure of CsUSb2O8. The functional is PBE-GGA.

Results
Space group   P-3m1 (164)
Formation energy (no corrections)   -178 kJ per mole of atoms
Crystal system   trigonal
Uncorrected energy   -6.84 eV per atom

Cell: 6.029 6.029 8.903 Å, 90.00 90.00 120.00°
Last column: magnetic moment on the atom in μB.
Sites, in units of the cell vectors:
O: 0.165 0.835 0.858  -0.01
O: 0.333 0.667 0.563  -0.01
O: 0.330 0.165 0.142  -0.01
Sb: 0.333 0.667 0.771  -0.01
O: 0.165 0.330 0.858  -0.01
O: 0.667 0.333 0.437  -0.01
O: 0.835 0.165 0.142  -0.01
Cs: 0.000 0.000 0.500  0.00
O: 0.835 0.670 0.142  -0.01
Sb: 0.667 0.333 0.229  -0.01
U: 0.000 0.000 0.000  1.09
O: 0.670 0.835 0.858  -0.01